Compound: Nd15Er4Tl
Source: the Alexandria database
Functional: GGA-PBE
Structure: relaxed

Cell and atoms, written as CIF:
```
data_Nd15Er4Tl
_chemical_formula_sum 'Nd15 Er4 Tl1'
_space_group_name_H-M_alt 'P 4/m m m'
_space_group_IT_number 123
_space_group_name_Hall '-P 4 2'
_cell_length_a 5.103
_cell_length_b 5.103
_cell_length_c 25.730
_cell_angle_alpha 90.00
_cell_angle_beta 90.00
_cell_angle_gamma 90.00
loop_
_atom_site_label
_atom_site_fract_x
_atom_site_fract_y
_atom_site_fract_z
Nd1 0.000 0.000 0.000
Nd2 0.000 0.000 0.198
Nd3 0.000 0.000 0.399
Nd4 0.000 0.500 0.098
Nd5 0.000 0.500 0.299
Nd6 0.000 0.500 0.500
Er1 0.500 0.500 0.199
Er2 0.500 0.500 0.400
Tl1 0.500 0.500 0.000
```

Values from the calculation:
* crystal system: tetragonal
* formation energy: -0.025 eV per atom